Record 1
# GGA-PBE NaPmGe2, optimized geometry
# **Calculated formation energy**: -0.426 eV/atom
# **E_tot**: -0.156 Ha/atom
# **Magnetization**: 0.0000 μB/atom
data_NaPmGe2
_cell_length_a 14.271
_cell_length_b 4.334
_cell_length_c 12.289
_cell_angle_alpha 90.00
_cell_angle_beta 90.00
_cell_angle_gamma 90.00
_symmetry_space_group_name_H-M 'P n m a'
_symmetry_Int_Tables_number 62
loop_
_symmetry_equiv_pos_as_xyz
'x,y,z'
'-x,-y,-z'
'-x+1/2,-y,z+1/2'
'x+1/2,y,-z+1/2'
'x+1/2,-y+1/2,-z+1/2'
'-x+1/2,y+1/2,z+1/2'
'-x,y+1/2,-z'
'x,-y+1/2,z'
loop_
_atom_site_label
_atom_site_type_symbol
_atom_site_fract_x
_atom_site_fract_y
_atom_site_fract_z
_atom_site_occupancy
Na1 Na 0.061 0.250 0.044 1
Na2 Na 0.187 0.750 0.136 1
Pm1 Pm 0.066 0.250 0.725 1
Pm2 Pm 0.199 0.750 0.424 1
Ge1 Ge 0.046 0.250 0.478 1
Ge2 Ge 0.090 0.250 0.278 1
Ge3 Ge 0.140 0.750 0.911 1
Ge4 Ge 0.225 0.750 0.740 1

Record 2
# GGA-PBE HfRe2Ru, optimized geometry
# **Calculated formation energy**: 0.166 eV/atom
# **E_tot**: -0.399 Ha/atom
# **Magnetization**: 0.0002 μB/atom
data_HfRe2Ru
_cell_length_a 6.351
_cell_length_b 6.351
_cell_length_c 6.351
_cell_angle_alpha 90.00
_cell_angle_beta 90.00
_cell_angle_gamma 90.00
_symmetry_space_group_name_H-M 'F m -3 m'
_symmetry_Int_Tables_number 225
_symmetry_space_group_name_Hall '-F 4 2 3'
loop_
_atom_site_label
_atom_site_type_symbol
_atom_site_fract_x
_atom_site_fract_y
_atom_site_fract_z
_atom_site_occupancy
Hf1 Hf 0.000 0.000 0.000 1
Re1 Re 0.250 0.250 0.250 1
Ru1 Ru 0.000 0.000 0.500 1